No. 1
The following is a PBE calculation of crystalline Ac2Al4Ga3Ag at its relaxed geometry, from the Alexandria database.

Output
As for the space group: P-4m2, No. 115. As for the total energy: -0.1450 hartree per atom. For the formation energy, the calculation gives -0.4331 eV/atom.

Cell lengths 4.507, 4.507, 10.826 Å; angles 90.00, 90.00, 90.00 degrees
Atoms (fractional coordinates):
Al (0.500, 0.000, 0.628)
Al (0.500, 0.500, 0.000)
Al (0.000, 0.000, 0.000)
Al (0.000, 0.500, 0.372)
Ac (0.500, 0.000, 0.252)
Ac (0.000, 0.500, 0.748)
Ag (0.500, 0.500, 0.500)
Ga (0.000, 0.500, 0.133)
Ga (0.000, 0.000, 0.500)
Ga (0.500, 0.000, 0.867)

No. 2
The following is a PBE calculation of crystalline AcAlGaAg2 at its relaxed geometry, from the Alexandria database.

Output
As for the space group: Imm2, No. 44. As for the total energy: -0.1343 hartree per atom. For the formation energy, the calculation gives -0.3375 eV/atom.

Cell lengths 4.624, 4.692, 6.233 Å; angles 112.11, 111.77, 90.00 degrees
Atoms (fractional coordinates):
Ag (0.059, 0.059, 0.117)
Ag (0.707, 0.207, 0.414)
Ac (0.441, 0.441, 0.882)
Ga (0.190, 0.690, 0.379)
Al (0.816, 0.816, 0.632)